1.
! Cs2P2Br | Alexandria via LeMat-Bulk | PBE | optimized geometry; values from VASP
&SYSTEM
  ibrav = 0, nat = 5, ntyp = 3
/
ATOMIC_SPECIES
Br 79.90 Br.upf
P 30.97 P.upf
Cs 132.91 Cs.upf
CELL_PARAMETERS angstrom
-1.8735 1.8735 11.0197
1.8735 -1.8735 11.0197
1.8735 1.8735 -11.0197
ATOMIC_POSITIONS angstrom
Br 0.0000 0.0000 0.0000
P 1.8735 0.0000 5.5099
Cs 0.0000 0.0000 13.4103
P 0.0000 1.8735 5.5099
Cs 0.0000 0.0000 8.6292
! Total moment (μB per atom): 0.00
! Energy relative to the elements, uncorrected (meV per atom): -543.9



2.
! Cs2PBr4 | Alexandria via LeMat-Bulk | PBE | optimized geometry; values from VASP
&SYSTEM
  ibrav = 0, nat = 7, ntyp = 3
/
ATOMIC_SPECIES
Br 79.90 Br.upf
Cs 132.91 Cs.upf
P 30.97 P.upf
CELL_PARAMETERS angstrom
-3.8615 1.0380 3.7999
0.0888 -5.2969 1.5371
4.4099 -0.3113 8.5701
ATOMIC_POSITIONS angstrom
Br 0.0444 -2.6485 0.7686
Br -1.9307 0.5190 1.9000
Cs -0.1349 -1.6237 4.3102
Cs 0.7721 -2.9465 9.5970
Br -1.8913 -3.7157 7.1005
Br 2.5285 -0.8546 6.8067
P 0.0000 0.0000 0.0000
! Total moment (μB per atom): 0.03
! Energy relative to the elements, uncorrected (meV per atom): -1016.1



3.
! CsPBr2 | Alexandria via LeMat-Bulk | PBE | optimized geometry; values from VASP
&SYSTEM
  ibrav = 0, nat = 8, ntyp = 3
/
ATOMIC_SPECIES
Br 79.90 Br.upf
P 30.97 P.upf
Cs 132.91 Cs.upf
CELL_PARAMETERS angstrom
6.5721 0.0000 0.0000
0.0000 6.5721 0.0000
3.2861 3.2861 8.0385
ATOMIC_POSITIONS angstrom
Br 3.9601 1.6430 2.0096
P 3.2861 3.2861 0.0000
Br 2.6120 4.9291 2.0096
Br 8.2151 7.2461 6.0288
P 3.2861 6.5721 4.0192
Cs 6.5721 3.2861 4.0192
Cs 0.0000 0.0000 0.0000
Br 4.9291 5.8981 6.0288
! Total moment (μB per atom): 0.00
! Energy relative to the elements, uncorrected (meV per atom): -403.0
! Relative energy among the computed polymorphs (eV/atom): 0.000



4.
! Cs2PBr6 | Alexandria via LeMat-Bulk | PBE | optimized geometry; values from VASP
&SYSTEM
  ibrav = 0, nat = 18, ntyp = 3
/
ATOMIC_SPECIES
Cs 132.91 Cs.upf
Br 79.90 Br.upf
P 30.97 P.upf
CELL_PARAMETERS angstrom
-4.3644 -2.1635 -5.7190
4.1531 -6.2057 -0.8218
-8.8227 -7.1545 9.4395
ATOMIC_POSITIONS angstrom
Cs -7.4761 -10.1615 4.6154
Br -2.5252 -8.7071 2.5945
Br -10.7222 -9.1280 3.3978
Br -0.0494 -1.9571 -1.5295
Br -3.4941 -8.2867 -0.7629
Cs -5.8636 -4.7549 6.2735
Br -6.5087 -6.8166 0.3042
P -4.5170 -7.7619 1.4494
Cs -1.5579 -5.3623 -1.7166
Br -5.6097 -10.0023 1.5006
Br 1.6882 -6.3958 -0.4990
P 0.0000 0.0000 0.0000
Br -4.0151 -3.6891 -3.7782
Br -0.1618 -6.4122 -5.0113
Br -5.5399 -7.2371 3.6616
Br -3.4243 -5.5215 1.3981
Cs -2.9591 -2.3996 3.1660
Br -5.0189 -11.8347 6.6770
! Total moment (μB per atom): 0.03
! Energy relative to the elements, uncorrected (meV per atom): -843.0



5.
! CsP2Br | Alexandria via LeMat-Bulk | PBE | optimized geometry; values from VASP
&SYSTEM
  ibrav = 0, nat = 4, ntyp = 3
/
ATOMIC_SPECIES
Br 79.90 Br.upf
P 30.97 P.upf
Cs 132.91 Cs.upf
CELL_PARAMETERS angstrom
-1.9834 0.2441 5.0149
0.8311 4.3965 3.0203
-4.1060 3.3209 1.1201
ATOMIC_POSITIONS angstrom
Br 0.0000 0.0000 0.0000
P -1.3146 1.9904 2.2888
Cs -2.6291 3.9808 4.5776
P -3.9437 5.9712 6.8664
! Total moment (μB per atom): 0.00
! Energy relative to the elements, uncorrected (meV per atom): 1013.9
! Relative energy among the computed polymorphs (eV/atom): 1.081



6.
! CsP2Br2 | Alexandria via LeMat-Bulk | PBE | optimized geometry; values from VASP
&SYSTEM
  ibrav = 0, nat = 5, ntyp = 3
/
ATOMIC_SPECIES
P 30.97 P.upf
Br 79.90 Br.upf
Cs 132.91 Cs.upf
CELL_PARAMETERS angstrom
-3.6777 -0.0087 0.0081
-0.0041 -1.4212 -3.3920
-1.8100 -10.0695 2.2275
ATOMIC_POSITIONS angstrom
P -3.6643 -5.3966 0.2718
Br -1.8336 -2.9418 -0.7589
Br -3.6583 -8.5577 -0.3974
P -1.8275 -6.1029 -1.4282
Cs 0.0000 0.0000 0.0000
! Total moment (μB per atom): 0.16
! Energy relative to the elements, uncorrected (meV per atom): -104.6
! Relative energy among the computed polymorphs (eV/atom): 0.000



7.
! CsP2Br6 | Alexandria via LeMat-Bulk | PBE | optimized geometry; values from VASP
&SYSTEM
  ibrav = 0, nat = 9, ntyp = 3
/
ATOMIC_SPECIES
Br 79.90 Br.upf
P 30.97 P.upf
Cs 132.91 Cs.upf
CELL_PARAMETERS angstrom
-1.5671 6.4468 4.1662
-7.4054 2.4107 0.8500
-3.7538 -1.9828 9.0220
ATOMIC_POSITIONS angstrom
Br -4.9485 5.5495 6.7094
Br -8.2348 4.6635 5.7733
Br -7.2451 5.3740 11.0146
Br -5.5067 2.6828 4.7265
Br -10.3154 3.2941 9.2993
P -9.5995 4.8018 11.0561
P -6.1426 4.8637 4.8948
Cs -6.5276 2.3733 8.6037
Br -11.0952 6.6609 11.4791
! Total moment (μB per atom): 0.11
! Energy relative to the elements, uncorrected (meV per atom): -501.3



8.
! CsP2Br4 | Alexandria via LeMat-Bulk | PBE | optimized geometry; values from VASP
&SYSTEM
  ibrav = 0, nat = 14, ntyp = 3
/
ATOMIC_SPECIES
Br 79.90 Br.upf
P 30.97 P.upf
Cs 132.91 Cs.upf
CELL_PARAMETERS angstrom
9.3011 1.0352 2.2298
-3.8765 7.1567 5.0548
-0.5803 1.0125 9.5098
ATOMIC_POSITIONS angstrom
Br 2.3698 1.8942 2.2194
P 1.6511 4.8231 7.3703
Cs 1.3056 6.6490 12.0351
Cs 5.4263 8.1887 7.2867
Br 3.6385 5.2097 5.8538
P 3.4816 3.8483 8.4787
Br 5.8265 1.1931 3.6584
Br -0.5156 5.4933 5.4102
Br -0.1138 4.7240 9.1454
Br 2.3109 1.9421 7.2926
P 4.0255 2.8302 10.5487
Br 4.2670 5.7481 9.9073
P 0.5319 6.9049 7.1926
Br 6.0504 2.4449 9.1250
! Total moment (μB per atom): 0.00
! Energy relative to the elements, uncorrected (meV per atom): -486.5



9.
! CsP3Br | Alexandria via LeMat-Bulk | PBE | optimized geometry; values from VASP
&SYSTEM
  ibrav = 0, nat = 5, ntyp = 3
/
ATOMIC_SPECIES
P 30.97 P.upf
Br 79.90 Br.upf
Cs 132.91 Cs.upf
CELL_PARAMETERS angstrom
-1.5274 -4.0882 -2.8509
2.9013 -3.1538 2.9682
-4.0526 -0.7171 3.1994
ATOMIC_POSITIONS angstrom
P 1.4507 -1.5769 1.4841
Br 0.0000 0.0000 0.0000
Cs -1.3393 -3.9795 1.6583
P -0.7637 -2.0441 -1.4255
P -2.0263 -0.3585 1.5997
! Total moment (μB per atom): 0.27
! Energy relative to the elements, uncorrected (meV per atom): 1085.8



10.
! CsPBr2 | Alexandria via LeMat-Bulk | PBE | optimized geometry; values from VASP
&SYSTEM
  ibrav = 0, nat = 4, ntyp = 3
/
ATOMIC_SPECIES
P 30.97 P.upf
Br 79.90 Br.upf
Cs 132.91 Cs.upf
CELL_PARAMETERS angstrom
0.0000 4.0949 4.0949
4.0949 0.0000 4.0949
4.0949 4.0949 0.0000
ATOMIC_POSITIONS angstrom
P 0.0000 0.0000 0.0000
Br 2.0475 2.0475 2.0475
Br 6.1424 6.1424 6.1424
Cs 4.0949 4.0949 4.0949
! Total moment (μB per atom): 0.50
! Energy relative to the elements, uncorrected (meV per atom): -39.4
! Relative energy among the computed polymorphs (eV/atom): 0.364



Number 1: total DFT energy (no corrections) -3.38 eV per atom. Number 2: total DFT energy (no corrections) -2.99 eV per atom. Number 3: total DFT energy (no corrections) -2.81 eV per atom. Number 4: total DFT energy (no corrections) -2.75 eV per atom. Number 5: total DFT energy (no corrections) -2.32 eV per atom. Number 6: total DFT energy (no corrections) -3.11 eV per atom. Number 7: total DFT energy (no corrections) -2.91 eV per atom. Number 8: total DFT energy (no corrections) -3.11 eV per atom. Number 9: total DFT energy (no corrections) -2.67 eV per atom. Number 10: total DFT energy (no corrections) -2.44 eV per atom.